Record 1
VASP calculation (GGA-PBE) on LaCe4Pm3Se8 after structural relaxation.

Calculated values
The formation energy without anion corrections comes out at -1852 meV per atom.

a = 8.4463 Å, b = 8.4463 Å, c = 8.4463 Å
α = 59.79°, β = 59.79°, γ = 59.79°
Last column: nearest neighbours and their distance in Å.
Positions (direct):
La: 0.0000 0.0000 0.0000  6 Se 3.01
Ce: 0.0000 0.0000 0.5000  6 Se 2.98-2.99
Ce: 0.0000 0.5000 0.0000  6 Se 2.98-2.99
Ce: 0.5000 0.0000 0.0000  6 Se 2.98-2.99
Ce: 0.5000 0.5000 0.5000  6 Se 2.95
Pm: 0.0000 0.5000 0.5000  6 Se 2.98
Pm: 0.5000 0.0000 0.5000  6 Se 2.98
Pm: 0.5000 0.5000 0.0000  6 Se 2.98
Se: 0.2503 0.2503 0.2503  3 Pm 2.98, 3 Ce 2.98
Se: 0.2524 0.2524 0.7468  3 Ce 2.95-2.99, 2 Pm 2.98, 1 La 3.01
Se: 0.2524 0.7468 0.2524  3 Ce 2.95-2.99, 2 Pm 2.98, 1 La 3.01
Se: 0.2532 0.7476 0.7476  3 Ce 2.95-2.99, 2 Pm 2.98, 1 La 3.01
Se: 0.7468 0.2524 0.2524  3 Ce 2.95-2.99, 2 Pm 2.98, 1 La 3.01
Se: 0.7476 0.2532 0.7476  3 Ce 2.95-2.99, 2 Pm 2.98, 1 La 3.01
Se: 0.7476 0.7476 0.2532  3 Ce 2.95-2.99, 2 Pm 2.98, 1 La 3.01
Se: 0.7497 0.7497 0.7497  3 Pm 2.98, 3 Ce 2.98

***

Record 2
VASP calculation (GGA-PBE) on LaCe3Pm4Se8 after structural relaxation.

Calculated values
The formation energy without anion corrections comes out at -1855 meV per atom.

a = 8.4300 Å, b = 8.4300 Å, c = 8.4300 Å
α = 59.99°, β = 59.99°, γ = 59.99°
Last column: nearest neighbours and their distance in Å.
Positions (direct):
La: 0.0000 0.0000 0.0000  6 Se 3.01
Ce: 0.0000 0.5000 0.5000  6 Se 2.98
Ce: 0.5000 0.0000 0.5000  6 Se 2.98
Ce: 0.5000 0.5000 0.0000  6 Se 2.98
Pm: 0.0000 0.0000 0.5000  6 Se 2.98
Pm: 0.0000 0.5000 0.0000  6 Se 2.98
Pm: 0.5000 0.0000 0.0000  6 Se 2.98
Pm: 0.5000 0.5000 0.5000  6 Se 2.95
Se: 0.2497 0.2497 0.2497  3 Pm 2.98, 3 Ce 2.98
Se: 0.2522 0.7474 0.7474  3 Pm 2.95-2.98, 2 Ce 2.98, 1 La 3.01
Se: 0.2526 0.2526 0.7478  3 Pm 2.95-2.98, 2 Ce 2.98, 1 La 3.01
Se: 0.2526 0.7478 0.2526  3 Pm 2.95-2.98, 2 Ce 2.98, 1 La 3.01
Se: 0.7474 0.2522 0.7474  3 Pm 2.95-2.98, 2 Ce 2.98, 1 La 3.01
Se: 0.7474 0.7474 0.2522  3 Pm 2.95-2.98, 2 Ce 2.98, 1 La 3.01
Se: 0.7478 0.2526 0.2526  3 Pm 2.95-2.98, 2 Ce 2.98, 1 La 3.01
Se: 0.7503 0.7503 0.7503  3 Pm 2.98, 3 Ce 2.98

***

Record 3
VASP calculation (GGA-PBE) on LaCePm2Sm2 after structural relaxation.

Calculated values
The calculation puts the formation energy at 0.163 eV/atom.

a = 7.0476 Å, b = 16.3248 Å, c = 3.5499 Å
α = 90.00°, β = 90.00°, γ = 90.00°
Last column: nearest neighbours and their distance in Å.
Positions (direct):
La: 0.0000 0.0000 0.0000  2 Ce 3.52, 2 La 3.55, 4 Sm 3.56, 4 Pm 3.57
La: 0.5000 0.5000 0.5000  2 Ce 3.52, 2 La 3.55, 4 Sm 3.56, 4 Pm 3.57
Ce: 0.0000 0.5000 0.5000  2 La 3.52, 4 Sm 3.54, 2 Ce 3.55, 4 Pm 3.55
Ce: 0.5000 0.0000 0.0000  2 La 3.52, 4 Sm 3.54, 2 Ce 3.55, 4 Pm 3.55
Pm: 0.2471 0.3446 0.0000  4 Sm 3.48-3.57, 2 Pm 3.55, 2 Ce 3.55, 2 La 3.57
Pm: 0.2529 0.8446 0.5000  4 Sm 3.48-3.57, 2 Pm 3.55, 2 Ce 3.55, 2 La 3.57
Pm: 0.7471 0.1554 0.5000  4 Sm 3.48-3.57, 2 Pm 3.55, 2 Ce 3.55, 2 La 3.57
Pm: 0.7529 0.6554 0.0000  4 Sm 3.48-3.57, 2 Pm 3.55, 2 Ce 3.55, 2 La 3.57
Sm: 0.2473 0.6546 0.0000  4 Pm 3.48-3.57, 2 Ce 3.54, 2 Sm 3.55, 2 La 3.56
Sm: 0.2527 0.1546 0.5000  4 Pm 3.48-3.57, 2 Ce 3.54, 2 Sm 3.55, 2 La 3.56
Sm: 0.7473 0.8454 0.5000  4 Pm 3.48-3.57, 2 Ce 3.54, 2 Sm 3.55, 2 La 3.56
Sm: 0.7527 0.3454 0.0000  4 Pm 3.48-3.57, 2 Ce 3.54, 2 Sm 3.55, 2 La 3.56